A relaxed FeCuBr4 crystal. Source: Alexandria, functional PBE.

## Properties
Its density of states at the Fermi level is 0.4 states/eV/f.u. Its energy relative to the elements, uncorrected is -0.442 eV per atom.

abc: 6.726 6.726 8.558
angles: 90.00 90.00 89.69
Last column: magnetic moment on the atom in μB.
Fractional positions:
Br1 0.312 0.717 0.007  0.17
Br2 0.688 0.283 0.507  0.17
Br3 0.717 0.312 0.993  0.17
Br4 0.210 0.195 0.267  0.18
Br5 0.790 0.805 0.767  0.18
Br6 0.195 0.210 0.733  0.18
Br7 0.805 0.790 0.233  0.18
Br8 0.283 0.688 0.493  0.17
Cu1 0.168 0.832 0.250  0.25
Cu2 0.832 0.168 0.750  0.25
Fe1 0.663 0.663 0.000  3.59
Fe2 0.337 0.337 0.500  3.59